[1]
Th2Ni9Ru | Alexandria via LeMat-Bulk | GGA-PBE | optimized geometry; total magnetization = 3.66 μB/f.u.; energy = -77.5 eV for the cell shown; density = 10.54 g cm⁻³; DOS(E_F) = 1.182 states/eV per atom
1.0
2.479 1.431 8.090
-2.479 1.431 8.090
0.000 -2.863 8.090
Th Ni Ru
2 9 1
Cartesian
0.000 0.000 3.119 Th
0.000 0.000 21.151 Th
-1.244 -0.718 10.037 Ni
0.000 0.000 8.082 Ni
0.000 -1.436 14.233 Ni
-1.244 0.718 14.233 Ni
0.000 0.000 12.135 Ni
1.244 -0.718 10.037 Ni
0.000 1.436 10.037 Ni
0.000 0.000 16.188 Ni
1.244 0.718 14.233 Ni
0.000 0.000 0.000 Ru



[2]
ThNiRu | Alexandria via LeMat-Bulk | GGA-PBE | optimized geometry; total magnetization = 0.00 μB/f.u.; energy = -22.9 eV for the cell shown; density = 11.84 g cm⁻³; DOS(E_F) = 0.561 states/eV per atom
1.0
-1.825 1.825 4.125
1.825 -1.825 4.125
1.825 1.825 -4.125
Th Ni Ru
1 1 1
Cartesian
0.000 0.000 0.000 Th
0.000 0.000 5.526 Ni
0.000 0.000 2.591 Ru



[3]
ThNiRu | Alexandria via LeMat-Bulk | GGA-PBE | optimized geometry; total magnetization = 0.00 μB/f.u.; energy = -46.9 eV for the cell shown; density = 12.04 g cm⁻³; DOS(E_F) = 0.668 states/eV per atom
1.0
2.302 -3.983 0.000
2.302 3.983 0.000
0.000 0.000 5.896
Th Ni Ru
2 2 2
Cartesian
2.302 2.657 4.422 Th
2.302 -2.657 1.474 Th
2.302 2.650 1.474 Ni
2.302 -2.650 4.422 Ni
2.302 0.000 0.000 Ru
2.302 0.000 2.948 Ru



[4]
ThNi2Ru | Alexandria via LeMat-Bulk | GGA-PBE | optimized geometry; total magnetization = 0.00 μB/f.u.; energy = -29.4 eV for the cell shown; density = 10.54 g cm⁻³; DOS(E_F) = 0.522 states/eV per atom
1.0
2.115 1.221 4.579
-2.115 1.221 4.579
0.000 -2.443 4.579
Th Ni Ru
1 2 1
Cartesian
0.000 0.000 0.000 Th
0.000 0.000 2.714 Ni
0.000 0.000 11.022 Ni
0.000 0.000 6.868 Ru



[5]
ThNi4Ru | Alexandria via LeMat-Bulk | GGA-PBE | optimized geometry; total magnetization = 1.59 μB/f.u.; energy = -40.9 eV for the cell shown; density = 11.02 g cm⁻³; DOS(E_F) = 1.469 states/eV per atom
1.0
0.000 3.497 3.497
3.497 0.000 3.497
3.497 3.497 0.000
Th Ni Ru
1 4 1
Cartesian
0.000 0.000 0.000 Th
2.636 2.636 2.636 Ni
4.358 4.358 2.636 Ni
4.358 2.636 4.358 Ni
2.636 4.358 4.358 Ni
5.246 5.246 5.246 Ru



[6]
ThNiRu | Alexandria via LeMat-Bulk | GGA-PBE | optimized geometry; total magnetization = 0.00 μB/f.u.; energy = -47.3 eV for the cell shown; density = 12.34 g cm⁻³; DOS(E_F) = 0.915 states/eV per atom
1.0
-2.495 2.756 3.834
2.495 -2.756 3.834
2.495 2.756 -3.834
Th Ni Ru
2 2 2
Cartesian
0.000 1.378 0.915 Th
2.495 1.378 2.919 Th
1.247 1.378 -1.917 Ni
1.247 -1.378 1.917 Ni
2.495 0.000 0.000 Ru
0.000 0.000 3.834 Ru



[7]
Th4Ni3Ru | Alexandria via LeMat-Bulk | GGA-PBE | optimized geometry; total magnetization = 0.00 μB/f.u.; energy = -60.0 eV for the cell shown; density = 11.31 g cm⁻³; DOS(E_F) = 0.824 states/eV per atom
1.0
3.798 0.000 0.000
0.000 4.250 0.000
0.000 0.000 10.965
Th Ni Ru
4 3 1
Cartesian
0.000 0.000 0.000 Th
0.000 2.125 2.953 Th
1.899 0.000 5.463 Th
1.899 2.125 8.415 Th
0.000 0.000 7.875 Ni
0.000 2.125 6.066 Ni
1.899 2.125 0.421 Ni
1.899 0.000 2.516 Ru



[8]
Th2Ni2Ru | Alexandria via LeMat-Bulk | GGA-PBE | optimized geometry; total magnetization = 0.00 μB/f.u.; energy = -150.6 eV for the cell shown; density = 11.69 g cm⁻³; DOS(E_F) = 0.872 states/eV per atom
1.0
7.260 0.000 0.000
0.000 7.260 0.000
0.000 0.000 7.357
Th Ni Ru
8 8 4
Cartesian
1.344 2.286 0.000 Th
1.344 2.287 3.679 Th
2.286 5.917 0.000 Th
2.287 5.917 3.679 Th
4.974 1.344 0.000 Th
4.974 1.344 3.679 Th
5.917 4.974 0.000 Th
5.917 4.974 3.679 Th
0.866 4.496 1.839 Ni
0.866 4.496 5.518 Ni
2.764 0.866 1.839 Ni
2.764 0.866 5.518 Ni
4.496 6.394 1.839 Ni
4.496 6.394 5.518 Ni
6.394 2.764 1.839 Ni
6.394 2.764 5.518 Ni
0.000 0.000 1.836 Ru
0.000 0.000 5.521 Ru
3.630 3.630 1.842 Ru
3.630 3.630 5.515 Ru